1.
Computed, not measured: a geometry-optimized K3MgS structure at the PBE level of DFT.

## Properties
The calculation puts the uncorrected formation energy at -8.69 kcal/mol of atoms. The volume is 46.83 Å³/atom. The energy above the most stable polymorph in this dataset is 0 meV/atom.

Unit cell a=6.164 b=6.164 c=6.164 alpha=90.00 beta=90.00 gamma=90.00
Space group Pm-3m (No. 221)
Unique sites:
K: 0.000 0.000 0.500 x3
Mg: 0.500 0.500 0.500 x1
S: 0.000 0.000 0.000 x1


2.
Computed, not measured: a geometry-optimized KMgS2 structure at the PBE level of DFT.

## Properties
The calculation puts the uncorrected formation energy at -14.87 kcal/mol of atoms. The volume is 28.34 Å³/atom.

Unit cell a=3.9725 b=3.9725 c=24.8822 alpha=90.00 beta=90.00 gamma=120.00
Space group R-3m (No. 166, hexagonal axes)
Unique sites:
K: 0.0000 0.0000 0.0000 x3
Mg: 0.0000 0.0000 0.5000 x3
S: 0.0000 0.0000 0.1155 x6


3.
Computed, not measured: a geometry-optimized KMgS14 structure at the PBE level of DFT.

## Properties
The calculation puts the uncorrected formation energy at -2.71 kcal/mol of atoms. The volume is 41.58 Å³/atom.

Unit cell a=17.857 b=18.398 c=9.245 alpha=90.00 beta=118.83 gamma=90.00
Space group C2/c (No. 15)
Unique sites:
K: 0.000 0.063 0.250 x4
Mg: 0.000 0.500 0.000 x4
S: 0.038 0.198 0.691 x8
S: 0.053 0.367 0.461 x8
S: 0.106 0.364 0.320 x8
S: 0.114 0.039 0.647 x8
S: 0.127 0.438 0.030 x8
S: 0.134 0.122 0.800 x8
S: 0.146 0.468 0.259 x8


4.
Computed, not measured: a geometry-optimized KMgS structure at the PBE level of DFT.

## Properties
The calculation puts the uncorrected formation energy at -18.23 kcal/mol of atoms. The volume is 33.74 Å³/atom.

Unit cell a=10.848 b=17.786 c=6.295 alpha=90.00 beta=90.00 gamma=90.00
Space group Ima2 (No. 46)
Unique sites:
K: 0.250 0.028 0.000 x4
K: 0.250 0.178 0.444 x4
K: 0.250 0.683 0.777 x4
Mg: 0.000 0.000 0.422 x4
Mg: 0.038 0.597 0.326 x8
S: 0.024 0.112 0.198 x8
S: 0.250 0.635 0.265 x4


5.
Computed, not measured: a geometry-optimized K3MgSb2S6 structure at the PBE level of DFT.

## Properties
The calculation puts the uncorrected formation energy at -19.29 kcal/mol of atoms. The volume is 25.10 Å³/atom.

Unit cell a=6.865 b=11.886 c=7.730 alpha=90.00 beta=107.22 gamma=90.00
Space group C2/m (No. 12)
Unique sites:
K: 0.000 0.000 0.000 x2
K: 0.000 0.331 0.000 x4
Mg: 0.000 0.500 0.500 x2
Sb: 0.000 0.166 0.500 x4
S: 0.228 0.337 0.697 x8
S: 0.240 0.000 0.698 x4


6.
Computed, not measured: a geometry-optimized KMgSc4S8 structure at the PBE level of DFT.

## Properties
The calculation puts the uncorrected formation energy at -35.27 kcal/mol of atoms. The volume is 23.92 Å³/atom.

Unit cell a=7.7974 b=7.7974 c=19.0815 alpha=90.00 beta=90.00 gamma=120.00
Space group R3m (No. 160, hexagonal axes)
Unique sites:
K: 0.0000 0.0000 0.0000 x3
Mg: 0.0000 0.0000 0.3988 x3
Sc: 0.0000 0.0000 0.7639 x3
Sc: 0.0147 0.5073 0.8885 x9
S: 0.0000 0.0000 0.1513 x3
S: 0.0000 0.0000 0.6325 x3
S: 0.0112 0.5056 0.1465 x9
S: 0.2009 0.4018 0.9689 x9


7.
Computed, not measured: a geometry-optimized KMgScS3 structure at the PBE level of DFT.

## Properties
The calculation puts the uncorrected formation energy at -36.50 kcal/mol of atoms. The volume is 25.37 Å³/atom.

Unit cell a=8.497 b=3.944 c=9.614 alpha=90.00 beta=109.10 gamma=90.00
Space group P2_1/m (No. 11)
Unique sites:
K: 0.216 0.250 0.230 x2
Mg: 0.090 0.250 0.614 x2
Sc: 0.335 0.750 0.875 x2
S: 0.126 0.250 0.870 x2
S: 0.211 0.750 0.546 x2
S: 0.472 0.750 0.148 x2


8.
Computed, not measured: a geometry-optimized KMgSc2S4 structure at the PBE level of DFT.

## Properties
The calculation puts the uncorrected formation energy at -36.81 kcal/mol of atoms. The volume is 21.77 Å³/atom.

Unit cell a=3.855 b=13.182 c=13.707 alpha=90.00 beta=90.00 gamma=90.00
Space group Cmcm (No. 63)
Unique sites:
K: 0.000 0.116 0.250 x4
Mg: 0.000 0.164 0.750 x4
Sc: 0.000 0.375 0.047 x8
S: 0.000 0.000 0.000 x4
S: 0.000 0.259 0.603 x8
S: 0.000 0.438 0.250 x4